Record 1
The following is a PBE calculation of a geometry-optimized Ba3ReN3 structure, from Alexandria via LeMat-Bulk.

Cell: 5.9511 7.3879 7.3913 Å, 102.26 90.00 90.00°
Fractional coordinates of all 14 atoms:
Ba: 0.7500 0.5841 0.8206
Ba: 0.7500 0.1063 0.8934
Ba: 0.7500 0.1800 0.4159
Ba: 0.2500 0.4159 0.1794
Ba: 0.2500 0.8937 0.1066
Ba: 0.2500 0.8200 0.5841
Re: 0.2500 0.3000 0.6999
Re: 0.7500 0.7000 0.3001
N: 0.2500 0.5493 0.8127
N: 0.2500 0.1350 0.8646
N: 0.2500 0.1877 0.4506
N: 0.7500 0.4507 0.1873
N: 0.7500 0.8650 0.1354
N: 0.7500 0.8123 0.5494

Values from the calculation:
E_tot = -6.757 eV/atom
uncorrected formation energy = -0.587 eV per atom
magnetic moment = 0.00 μB/cell

Record 2
The following is a PBE calculation of a geometry-optimized Ba3CdPd3 structure, from Alexandria via LeMat-Bulk.

Cell: 6.3626 9.6201 9.6201 Å, 120.00 90.00 90.00°
Fractional coordinates of all 14 atoms:
Ba: 0.7500 0.6992 0.6433
Ba: 0.7500 0.3567 0.0559
Ba: 0.7500 0.9441 0.3008
Ba: 0.2500 0.3008 0.3567
Ba: 0.2500 0.6433 0.9441
Ba: 0.2500 0.0559 0.6992
Cd: 0.2500 0.6667 0.3333
Cd: 0.7500 0.3333 0.6667
Pd: 0.2500 0.6841 0.6251
Pd: 0.2500 0.3749 0.0590
Pd: 0.2500 0.9410 0.3159
Pd: 0.7500 0.3159 0.3749
Pd: 0.7500 0.6251 0.9410
Pd: 0.7500 0.0590 0.6841

Values from the calculation:
E_tot = -3.552 eV/atom
formation energy from the elements = -0.372 eV/atom
magnetic moment = 0.00 μB/cell

Record 3
The following is a PBE calculation of a geometry-optimized K2ZnIr structure, from Alexandria via LeMat-Bulk.

Cell: 3.9871 3.1609 9.8258 Å, 86.60 90.00 90.00°
Fractional coordinates of all 4 atoms:
Ir: 0.5000 0.8716 0.6364
K: 0.0000 0.8236 0.9065
K: 0.5000 0.4295 0.3419
Zn: 0.0000 0.3754 0.6152

Values from the calculation:
E_tot = -2.846 eV/atom
formation energy from the elements = 0.237 eV/atom
magnetic moment = 0.00 μB/cell

Record 4
The following is a PBE calculation of a geometry-optimized NdAgRhAu structure, from Alexandria via LeMat-Bulk.

Cell: 4.8729 4.8729 4.8729 Å, 60.00 60.00 60.00°
Fractional coordinates of all 4 atoms:
Nd: 0.0000 0.0000 0.0000
Rh: 0.7500 0.7500 0.7500
Au: 0.2500 0.2500 0.2500
Ag: 0.5000 0.5000 0.5000

Values from the calculation:
E_tot = -4.892 eV/atom
formation energy from the elements = -0.330 eV/atom
magnetic moment = 0.00 μB/cell

Record 5
The following is a PBE calculation of a geometry-optimized AcTbPmHo structure, from Alexandria via LeMat-Bulk.

Cell: 5.8607 5.8607 5.8607 Å, 60.00 60.00 60.00°
Fractional coordinates of all 4 atoms:
Ac: 0.7500 0.7500 0.7500
Tb: 0.5000 0.5000 0.5000
Ho: 0.0000 0.0000 0.0000
Pm: 0.2500 0.2500 0.2500

Values from the calculation:
E_tot = -4.395 eV/atom
formation energy from the elements = 0.121 eV/atom
magnetic moment = 0.00 μB/cell

Record 6
The following is a PBE calculation of a geometry-optimized K5Mg structure, from Alexandria via LeMat-Bulk.

Cell: 8.5503 8.5503 9.7719 Å, 73.12 73.12 32.56°
Fractional coordinates of all 6 atoms:
K: 0.9530 0.9530 0.0285
K: 0.6424 0.6424 0.1928
K: 0.3066 0.3066 0.3781
K: 0.9621 0.9621 0.5926
K: 0.6662 0.6662 0.7410
Mg: 0.3030 0.3030 0.9003

Values from the calculation:
E_tot = -1.087 eV/atom
formation energy from the elements = 0.093 eV/atom
magnetic moment = 0.00 μB/cell

Record 7
The following is a PBE calculation of a geometry-optimized LuNpNi4 structure, from Alexandria via LeMat-Bulk.

Cell: 5.0144 5.0144 5.0144 Å, 60.00 60.00 60.00°
Fractional coordinates of all 6 atoms:
Np: 0.2500 0.2500 0.2500
Ni: 0.6249 0.6249 0.1252
Ni: 0.6249 0.1252 0.6249
Ni: 0.6249 0.6249 0.6249
Ni: 0.1252 0.6249 0.6249
Lu: 0.0000 0.0000 0.0000

Values from the calculation:
E_tot = -7.028 eV/atom
formation energy from the elements = -0.264 eV/atom
magnetic moment = 3.83 μB/cell

Record 8
The following is a PBE calculation of a geometry-optimized Ba2BiBPt structure, from Alexandria via LeMat-Bulk.

Cell: 6.1334 5.2527 6.1334 Å, 90.00 90.00 90.00°
Fractional coordinates of all 5 atoms:
B: 0.5000 0.5000 0.5000
Bi: 0.0000 0.5000 0.0000
Pt: 0.0000 0.0000 0.0000
Ba: 0.0000 0.0000 0.5000
Ba: 0.5000 0.0000 0.0000

Values from the calculation:
E_tot = -3.670 eV/atom
formation energy from the elements = 0.419 eV/atom
magnetic moment = 0.00 μB/cell